Density functional theory data (PBE) for an optimized crystal structure of LiNdNb.

Values from the calculation:
- Space-group type: No. 216
- Total DFT energy (no corrections): -4.42 eV per atom

Lattice parameters (Å, degrees): 4.829 4.829 4.829 60.00 60.00 60.00
Element x y z (fractional)
Nb: 0.250 0.250 0.250
Li: 0.000 0.000 0.000
Nd: 0.500 0.500 0.500